This record from Alexandria via LeMat-Bulk describes a geometry-optimized TbCd2MoO6 structure. The functional is GGA+U.

a = 5.6609 Å, b = 5.7181 Å, c = 8.2290 Å
α = 89.99°, β = 89.88°, γ = 89.99°
Site moments in Bohr magnetons follow the coordinates.
Element x y z (fractional)
O: 0.3443 0.7068 0.4399  -0.02
O: 0.8036 0.8305 0.5563  0.01
O: 0.1557 0.2068 0.0602  -0.02
O: 0.3925 0.9355 0.7352  0.00
O: 0.6557 0.2932 0.5601  -0.02
O: 0.3036 0.6695 0.0563  0.01
O: 0.6075 0.0645 0.2648  0.00
O: 0.8443 0.7932 0.9398  -0.02
O: 0.8925 0.5645 0.2352  0.00
O: 0.1075 0.4355 0.7648  0.00
O: 0.6964 0.3305 0.9437  0.01
O: 0.1964 0.1695 0.4437  0.01
Cd: 0.5009 0.4608 0.2460  0.01
Cd: 0.0009 0.0392 0.7460  0.01
Cd: 0.4991 0.5392 0.7540  0.01
Cd: 0.9991 0.9608 0.2540  0.01
Tb: 0.0000 0.5000 0.5000  0.01
Tb: 0.5000 0.0000 0.0000  0.01
Mo: 0.0000 0.5000 0.0000  0.97
Mo: 0.5000 0.0000 0.5000  0.97

Output
E_tot: -6.204 eV/atom
Symmetry: P2_1/c (14)
Theoretical density: 7178 kg/m3